No. 1
# In3Ga5O12

A relaxed structure of In3Ga5O12 (PBE, Alexandria via LeMat-Bulk).

The formation energy without anion corrections is -1.71 eV/atom. The volume is 231.73 Å³/f.u.

Cell: 10.6387 10.6387 10.6387 Å, 109.47 109.47 109.47°
Element x y z (fractional)
In (0.1250, 0.2500, 0.3750)
In (0.1250, 0.3750, 0.7500)
In (0.2500, 0.3750, 0.1250)
In (0.2500, 0.8750, 0.6250)
In (0.3750, 0.1250, 0.2500)
In (0.3750, 0.7500, 0.1250)
In (0.6250, 0.2500, 0.8750)
In (0.6250, 0.8750, 0.7500)
In (0.7500, 0.1250, 0.3750)
In (0.7500, 0.6250, 0.8750)
In (0.8750, 0.6250, 0.2500)
In (0.8750, 0.7500, 0.6250)
Ga (0.0000, 0.0000, 0.0000)
Ga (0.0000, 0.0000, 0.5000)
Ga (0.0000, 0.5000, 0.0000)
Ga (0.0000, 0.5000, 0.5000)
Ga (0.1250, 0.7500, 0.8750)
Ga (0.1250, 0.8750, 0.2500)
Ga (0.2500, 0.1250, 0.8750)
Ga (0.2500, 0.6250, 0.3750)
Ga (0.3750, 0.2500, 0.6250)
Ga (0.3750, 0.6250, 0.7500)
Ga (0.5000, 0.0000, 0.0000)
Ga (0.5000, 0.0000, 0.5000)
Ga (0.5000, 0.5000, 0.0000)
Ga (0.5000, 0.5000, 0.5000)
Ga (0.6250, 0.3750, 0.2500)
Ga (0.6250, 0.7500, 0.3750)
Ga (0.7500, 0.3750, 0.6250)
Ga (0.7500, 0.8750, 0.1250)
Ga (0.8750, 0.1250, 0.7500)
Ga (0.8750, 0.2500, 0.1250)
O (0.0307, 0.2071, 0.1270)
O (0.0307, 0.3236, 0.9037)
O (0.0801, 0.7071, 0.6764)
O (0.0801, 0.8730, 0.4037)
O (0.0963, 0.6270, 0.4199)
O (0.0963, 0.9693, 0.6764)
O (0.1270, 0.0307, 0.2071)
O (0.1270, 0.5963, 0.9199)
O (0.1764, 0.2071, 0.5801)
O (0.1764, 0.4693, 0.5963)
O (0.2071, 0.1270, 0.0307)
O (0.2071, 0.5801, 0.1764)
O (0.2929, 0.3236, 0.9199)
O (0.2929, 0.4693, 0.3730)
O (0.3236, 0.9037, 0.0307)
O (0.3236, 0.9199, 0.2929)
O (0.3730, 0.2929, 0.4693)
O (0.3730, 0.5801, 0.9037)
O (0.4037, 0.0801, 0.8730)
O (0.4037, 0.8236, 0.5307)
O (0.4199, 0.0963, 0.6270)
O (0.4199, 0.8236, 0.7929)
O (0.4693, 0.3730, 0.2929)
O (0.4693, 0.5963, 0.1764)
O (0.5307, 0.4037, 0.8236)
O (0.5307, 0.6270, 0.7071)
O (0.5801, 0.1764, 0.2071)
O (0.5801, 0.9037, 0.3730)
O (0.5963, 0.1764, 0.4693)
O (0.5963, 0.9199, 0.1270)
O (0.6270, 0.4199, 0.0963)
O (0.6270, 0.7071, 0.5307)
O (0.6764, 0.0801, 0.7071)
O (0.6764, 0.0963, 0.9693)
O (0.7071, 0.5307, 0.6270)
O (0.7071, 0.6764, 0.0801)
O (0.7929, 0.4199, 0.8236)
O (0.7929, 0.8730, 0.9693)
O (0.8236, 0.5307, 0.4037)
O (0.8236, 0.7929, 0.4199)
O (0.8730, 0.4037, 0.0801)
O (0.8730, 0.9693, 0.7929)
O (0.9037, 0.0307, 0.3236)
O (0.9037, 0.3730, 0.5801)
O (0.9199, 0.1270, 0.5963)
O (0.9199, 0.2929, 0.3236)
O (0.9693, 0.6764, 0.0963)
O (0.9693, 0.7929, 0.8730)


No. 2
# CdPH

A relaxed structure of CdPH (PBE, Alexandria via LeMat-Bulk).

The calculation puts the energy above the lowest structure with this stoichiometry at 249 meV/atom. The volume is 57.76 Å³/f.u.

Cell: 4.5174 4.5174 8.9867 Å, 105.35 105.35 41.05°
Element x y z (fractional)
Cd (0.0374, 0.0374, 0.2686)
Cd (0.9626, 0.9626, 0.7314)
P (0.2551, 0.2551, 0.9177)
P (0.7449, 0.7449, 0.0823)
H (0.3924, 0.3924, 0.6099)
H (0.6076, 0.6076, 0.3901)


No. 3
# Er2NiN

A relaxed structure of Er2NiN (PBE, Alexandria via LeMat-Bulk).

The formation energy without anion corrections is -0.46 eV/atom. The volume is 74.09 Å³/f.u.

Cell: 8.0548 8.0548 8.0548 Å, 23.69 23.69 23.69°
Element x y z (fractional)
Er (0.1086, 0.1086, 0.1086)
Er (0.8914, 0.8914, 0.8914)
Ni (0.0000, 0.0000, 0.0000)
N (0.5000, 0.5000, 0.5000)


No. 4
# BeBi2Mo

A relaxed structure of BeBi2Mo (PBE, Alexandria via LeMat-Bulk).

The volume is 116.33 Å³/f.u. For the formation enthalpy at 0 K, the calculation gives 0.969 eV per atom.

Cell: 7.4965 7.4965 7.4965 Å, 131.31 131.31 71.32°
Element x y z (fractional)
Be (0.0000, 0.0000, 0.0000)
Be (0.7500, 0.2500, 0.5000)
Bi (0.0952, 0.6250, 0.9702)
Bi (0.3750, 0.3452, 0.4702)
Bi (0.6548, 0.1250, 0.0298)
Bi (0.8750, 0.9048, 0.5298)
Mo (0.2500, 0.7500, 0.5000)
Mo (0.5000, 0.5000, 0.0000)


No. 5
# Tb2PrSi

A relaxed structure of Tb2PrSi (PBE, Alexandria via LeMat-Bulk).

The formation energy without anion corrections is -0.03 eV/atom. The calculation puts the energy above the lowest structure with this stoichiometry at 213 meV/atom. The volume is 124.41 Å³/f.u.

Cell: 11.1312 11.1312 11.1312 Å, 18.74 18.74 18.74°
Element x y z (fractional)
Tb (0.1083, 0.1083, 0.1083)
Tb (0.8917, 0.8917, 0.8917)
Pr (0.0000, 0.0000, 0.0000)
Si (0.5000, 0.5000, 0.5000)


No. 6
# SrNdRe2O8

A relaxed structure of SrNdRe2O8 (PBE, Alexandria via LeMat-Bulk).

The formation energy without anion corrections is -2.03 eV/atom. The volume is 228.29 Å³/f.u.

Cell: 6.0040 6.0040 7.3126 Å, 90.00 90.00 120.00°
Element x y z (fractional)
Sr (0.0000, 0.0000, 0.0000)
Nd (0.0000, 0.0000, 0.5000)
Re (0.3333, 0.6667, 0.8016)
Re (0.6667, 0.3333, 0.1984)
O (0.1651, 0.3301, 0.7218)
O (0.1651, 0.8349, 0.7218)
O (0.3301, 0.1651, 0.2782)
O (0.3333, 0.6667, 0.0457)
O (0.6667, 0.3333, 0.9543)
O (0.6699, 0.8349, 0.7218)
O (0.8349, 0.1651, 0.2782)
O (0.8349, 0.6699, 0.2782)


No. 7
# In2Ge2Cl

A relaxed structure of In2Ge2Cl (PBE, Alexandria via LeMat-Bulk).

The formation energy without anion corrections is 0.00 eV/atom. The calculation puts the energy above the lowest structure with this stoichiometry at 67 meV/atom. The volume is 123.40 Å³/f.u.

Cell: 7.8061 7.8061 4.0501 Å, 90.00 90.00 90.00°
Element x y z (fractional)
In (0.1903, 0.3097, 0.0000)
In (0.3097, 0.8097, 0.0000)
In (0.6903, 0.1903, 0.0000)
In (0.8097, 0.6903, 0.0000)
Ge (0.1138, 0.6138, 0.5000)
Ge (0.3862, 0.1138, 0.5000)
Ge (0.6138, 0.8862, 0.5000)
Ge (0.8862, 0.3862, 0.5000)
Cl (0.0000, 0.0000, 0.5000)
Cl (0.5000, 0.5000, 0.5000)


No. 8
# BaCd4Ga2

A relaxed structure of BaCd4Ga2 (PBE, Alexandria via LeMat-Bulk).

The volume is 172.53 Å³/f.u. For the formation enthalpy at 0 K, the calculation gives -0.265 eV per atom.

Cell: 8.2414 8.2414 4.6620 Å, 90.00 90.00 146.98°
Element x y z (fractional)
Ba (0.0000, 0.0000, 0.0000)
Cd (0.1807, 0.8193, 0.5000)
Cd (0.3154, 0.6846, 0.0000)
Cd (0.6846, 0.3154, 0.0000)
Cd (0.8193, 0.1807, 0.5000)
Ga (0.4169, 0.5831, 0.5000)
Ga (0.5831, 0.4169, 0.5000)


| no. | total magnetic moment (μB per formula unit) | total DFT energy (no corrections) (eV/atom) |
| --- | --- | --- |
| 1 | 0.0 | -5.848 |
| 2 | 0.0 | -3.018 |
| 3 | 0.0 | -6.266 |
| 4 | 2.0 | -4.611 |
| 5 | 0.0 | -4.894 |
| 6 | 3.0 | -7.948 |
| 7 | 0.0 | -3.312 |
| 8 | 0.0 | -1.927 |